The following is a GGA+U calculation of a relaxed KCrO2 crystal, from Alexandria.

abc: 4.1200 4.1200 4.1200
angles: 60.00 60.00 60.00
With the nearest neighbours (Å) after each atom.
Element x y z (fractional)
K: 0.0000 0.0000 0.0000  8 O 2.52
Cr: 0.5000 0.5000 0.5000  8 O 2.52
O: 0.2500 0.2500 0.2500  4 Cr 2.52, 4 K 2.52
O: 0.7500 0.7500 0.7500  4 Cr 2.52, 4 K 2.52

Its density of states at the Fermi level is 1.86 states/eV/cell. As for the uncorrected energy: -5.2011 eV/atom. The symmetry is Fm-3m.